{"formula": "PrMn2Si2Pt7", "functional": "PBE", "state": "relaxed", "lattice": [[2.8658, -2.9301, 0.0000], [2.8658, 2.9301, 0.0000], [0.0000, 0.0000, 12.0021]], "species": ["Pr", "Mn", "Mn", "Si", "Si", "Pt", "Pt", "Pt", "Pt", "Pt", "Pt", "Pt"], "fractional_positions": [[0.0000, 0.0000, 0.0000], [0.0000, 0.0000, 0.3385], [0.0000, 0.0000, 0.6615], [0.5000, 0.5000, 0.3131], [0.5000, 0.5000, 0.6869], [0.0000, 0.5000, 0.1924], [0.0000, 0.5000, 0.8076], [0.2751, 0.7249, 0.5000], [0.5000, 0.0000, 0.1924], [0.5000, 0.0000, 0.8076], [0.5000, 0.5000, 0.0000], [0.7249, 0.2751, 0.5000]], "crystal_system": "orthorhombic", "total_magnetization_mub_per_atom": 0.72, "vol_a3_per_cell": 201.6, "raw_formation_energy_ev_per_atom": -0.517, "dft_energy_ev_per_atom": -6.871, "sg": "Cmmm (65)"}

---

{"formula": "PrMnSi2Pt5", "functional": "PBE", "state": "relaxed", "lattice": [[4.1066, 0.0000, 0.0000], [0.0000, 4.1066, 0.0000], [0.0000, 0.0000, 10.3833]], "species": ["Pr", "Mn", "Si", "Si", "Pt", "Pt", "Pt", "Pt", "Pt"], "fractional_positions": [[0.0000, 0.0000, 0.0000], [0.0000, 0.0000, 0.5000], [0.5000, 0.5000, 0.2262], [0.5000, 0.5000, 0.7738], [0.0000, 0.5000, 0.3404], [0.0000, 0.5000, 0.6596], [0.5000, 0.0000, 0.3404], [0.5000, 0.0000, 0.6596], [0.5000, 0.5000, 0.0000]], "crystal_system": "tetragonal", "total_magnetization_mub_per_atom": 0.50, "vol_a3_per_cell": 175.1, "raw_formation_energy_ev_per_atom": -0.658, "dft_energy_ev_per_atom": -6.769, "sg": "P4/mmm (123)"}